A plane-wave DFT calculation with SCAN was carried out for Cs3Nb2Se11 at its PBEsol-relaxed geometry.

## Properties
As for the space group: P2_1/c. The value obtained for the energy relative to the elements, uncorrected is -905 meV/atom. Its total magnetic moment is 0.000 μB per formula unit.

Cell: 12.5490 8.3965 20.2354 Å, 90.00 104.57 90.00°
Atoms (fractional coordinates):
Cs1 0.0034 0.1623 0.3354
Cs2 0.0034 0.3377 0.8354
Cs3 0.2389 0.2007 0.1201
Cs4 0.2389 0.2993 0.6201
Cs5 0.4567 0.1379 0.3587
Cs6 0.4567 0.3621 0.8587
Cs7 0.5433 0.6379 0.1413
Cs8 0.5433 0.8621 0.6413
Cs9 0.7611 0.7007 0.3799
Cs10 0.7611 0.7993 0.8799
Cs11 0.9966 0.6623 0.1646
Cs12 0.9966 0.8377 0.6646
Nb1 0.1979 0.7444 0.9982
Nb2 0.1979 0.7556 0.4982
Nb3 0.2856 0.6228 0.3453
Nb4 0.2856 0.8772 0.8453
Nb5 0.7144 0.1228 0.1547
Nb6 0.7144 0.3772 0.6547
Nb7 0.8021 0.2444 0.5018
Nb8 0.8021 0.2556 0.0018
Se1 0.0024 0.1406 0.5095
Se2 0.0024 0.3594 0.0095
Se3 0.0696 0.5061 0.4582
Se4 0.0696 0.9939 0.9582
Se5 0.0998 0.7480 0.3514
Se6 0.0998 0.7520 0.8514
Se7 0.2033 0.6239 0.7823
Se8 0.2033 0.8761 0.2823
Se9 0.2247 0.0968 0.7723
Se10 0.2247 0.4032 0.2723
Se11 0.2453 0.0433 0.4731
Se12 0.2453 0.4567 0.9731
Se13 0.2608 0.0221 0.9573
Se14 0.2608 0.4779 0.4573
Se15 0.2620 0.7212 0.6177
Se16 0.2620 0.7788 0.1177
Se17 0.3742 0.6607 0.9620
Se18 0.3742 0.8393 0.4620
Se19 0.4668 0.7026 0.3143
Se20 0.4668 0.7974 0.8143
Se21 0.4848 0.5491 0.4149
Se22 0.4848 0.9509 0.9149
Se23 0.5152 0.0491 0.0851
Se24 0.5152 0.4509 0.5851
Se25 0.5332 0.2026 0.1857
Se26 0.5332 0.2974 0.6857
Se27 0.6258 0.1607 0.5380
Se28 0.6258 0.3393 0.0380
Se29 0.7380 0.2212 0.8823
Se30 0.7380 0.2788 0.3823
Se31 0.7392 0.5221 0.5427
Se32 0.7392 0.9779 0.0427
Se33 0.7547 0.5433 0.0269
Se34 0.7547 0.9567 0.5269
Se35 0.7753 0.5968 0.7277
Se36 0.7753 0.9032 0.2277
Se37 0.7967 0.1239 0.7177
Se38 0.7967 0.3761 0.2177
Se39 0.9002 0.2480 0.1486
Se40 0.9002 0.2520 0.6486
Se41 0.9304 0.0061 0.0418
Se42 0.9304 0.4939 0.5417
Se43 0.9976 0.6406 0.9905
Se44 0.9976 0.8594 0.4905